# 1
# PHOsO GGA-PBE optimized geometry
# Space group ... Pm
# Calculated volume ... 50.15 Å³/f.u.
# Spin magnetization ... 0.0 μB/f.u.
# Offset from the most stable computed form ... 0.24 eV per formula unit
data_PHOsO
_symmetry_space_group_name_H-M 'P 1'
_symmetry_Int_Tables_number 1
_cell_length_a 3.2597
_cell_length_b 3.5255
_cell_length_c 4.3664
_cell_angle_alpha 90.00
_cell_angle_beta 91.77
_cell_angle_gamma 90.00
loop_
_symmetry_equiv_pos_as_xyz
'x,y,z'
loop_
_atom_site_label
_atom_site_fract_x
_atom_site_fract_y
_atom_site_fract_z
P1 0.4923 0.0000 0.3832
H1 0.9955 0.5000 0.8135
Os1 0.4919 0.5000 0.6776
O1 0.5010 0.0000 0.0255


# 2
# SmDyScCu GGA-PBE optimized geometry
# Space group ... F-43m
# Calculated volume ... 98.95 Å³/f.u.
# Spin magnetization ... 0.0 μB/f.u.
# ΔE_f ... 130 meV/atom
# Fermi-level density of states ... 3.56 states/eV/f.u.
data_SmDyScCu
_symmetry_space_group_name_H-M 'P 1'
_symmetry_Int_Tables_number 1
_cell_length_a 5.1917
_cell_length_b 5.1917
_cell_length_c 5.1917
_cell_angle_alpha 60.00
_cell_angle_beta 60.00
_cell_angle_gamma 60.00
loop_
_symmetry_equiv_pos_as_xyz
'x,y,z'
loop_
_atom_site_label
_atom_site_fract_x
_atom_site_fract_y
_atom_site_fract_z
Sc1 0.7500 0.7500 0.7500
Cu1 0.2500 0.2500 0.2500
Sm1 0.0000 0.0000 0.0000
Dy1 0.5000 0.5000 0.5000


# 3
# V4Rh2N GGA-PBE optimized geometry
# Space group ... Fd-3m
# Calculated volume ... 88.38 Å³/f.u.
# Spin magnetization ... 0.0 μB/f.u.
# Offset from the most stable computed form ... 0.00 eV per formula unit
# Fermi-level density of states ... 9.11 states/eV/f.u.
# Formation energy from raw total energies ... -534 meV/atom
data_V4Rh2N
_symmetry_space_group_name_H-M 'P 1'
_symmetry_Int_Tables_number 1
_cell_length_a 7.9366
_cell_length_b 7.9366
_cell_length_c 7.9367
_cell_angle_alpha 60.00
_cell_angle_beta 60.00
_cell_angle_gamma 60.00
loop_
_symmetry_equiv_pos_as_xyz
'x,y,z'
loop_
_atom_site_label
_atom_site_fract_x
_atom_site_fract_y
_atom_site_fract_z
V1 0.0715 0.0715 0.4285
V2 0.6250 0.1250 0.6250
V3 0.1785 0.8215 0.8215
V4 0.0715 0.4285 0.0715
V5 0.4285 0.4285 0.0715
V6 0.8215 0.1785 0.1785
V7 0.1785 0.8215 0.1785
V8 0.1785 0.1785 0.8215
V9 0.4285 0.0715 0.0715
V10 0.8215 0.8215 0.1785
V11 0.6250 0.6250 0.1250
V12 0.0715 0.4285 0.4285
V13 0.4285 0.0715 0.4285
V14 0.8215 0.1785 0.8215
V15 0.6250 0.6250 0.6250
V16 0.1250 0.6250 0.6250
Rh1 0.4115 0.4115 0.7656
Rh2 0.4115 0.7656 0.4115
Rh3 0.4115 0.4115 0.4115
Rh4 0.8385 0.8385 0.8385
Rh5 0.8385 0.8385 0.4844
Rh6 0.4844 0.8385 0.8385
Rh7 0.7656 0.4115 0.4115
Rh8 0.8385 0.4844 0.8385
N1 0.6250 0.1250 0.1250
N2 0.1250 0.6250 0.1250
N3 0.1250 0.1250 0.1250
N4 0.1250 0.1250 0.6250